[1]
Compound: Al2SiWSe
Source: Alexandria via LeMat-Bulk
Functional: GGA-PBE
Structure: optimized geometry

The structure belongs to space group P4/mmm (No. 123); the cell edges are 4.6685, 4.6685 and 4.8639 Å and the angles 90.00°, 90.00° and 90.00°. The asymmetric unit holds Al at (0.0000, 0.5000, 0.0000), Si at (0.0000, 0.0000, 0.0000), W at (0.5000, 0.5000, 0.5000) and Se at (0.0000, 0.0000, 0.5000).

The density of states at the Fermi level is 3.6 states/eV/cell. For the total moment, the calculation gives 3.353 Bohr magnetons per cell. For the energy, the calculation gives -22.82 eV/cell. The crystal system is tetragonal.

***

[2]
Compound: Sm2AlSe5
Source: Alexandria via LeMat-Bulk
Functional: GGA-PBE
Structure: optimized geometry

The structure belongs to space group Cmcm (No. 63); the cell edges are 5.6654, 14.0334 and 12.3851 Å and the angles 90.00°, 90.00° and 90.00°. The asymmetric unit holds Sm at (0.0000, 0.1578, 0.0694), Al at (0.0000, 0.1875, 0.7500), Se at (0.0000, 0.0397, 0.6266), Se at (0.0000, 0.2904, 0.2500) and Se at (0.0000, 0.3050, 0.5983).

The density of states at the Fermi level is 15.7 states/eV/cell. For the total moment, the calculation gives 0.000 Bohr magnetons per cell. For the energy, the calculation gives -162.10 eV/cell. The crystal system is orthorhombic.

***

[3]
Compound: Sm7AlSe5
Source: Alexandria via LeMat-Bulk
Functional: GGA-PBE
Structure: optimized geometry

The structure belongs to space group Cmcm (No. 63); the cell edges are 4.1197, 13.7820 and 24.8032 Å and the angles 90.00°, 90.00° and 90.00°. The asymmetric unit holds Sm at (0.0000, 0.0254, 0.2500), Sm at (0.0000, 0.1378, 0.5362), Sm at (0.0000, 0.3119, 0.1786), Sm at (0.0000, 0.4078, 0.6150), Al at (0.0000, 0.3096, 0.7500), Se at (0.0000, 0.0511, 0.6419), Se at (0.0000, 0.2242, 0.0719) and Se at (0.0000, 0.5000, 0.0000).

The density of states at the Fermi level is 36.1 states/eV/cell. For the total moment, the calculation gives 0.000 Bohr magnetons per cell. For the energy, the calculation gives -292.37 eV/cell. The crystal system is orthorhombic.

***

[4]
Compound: Sm2AlSe4
Source: Alexandria via LeMat-Bulk
Functional: GGA-PBE
Structure: optimized geometry

The structure belongs to space group C2/m (No. 12); the cell edges are 14.2612, 4.0781 and 7.3066 Å and the angles 90.00°, 119.56° and 90.00°. The asymmetric unit holds Sm at (0.2264, 0.0000, 0.2141), Al at (0.0000, 0.5000, 0.5000), Se at (0.1072, 0.5000, 0.9105) and Se at (0.1205, 0.0000, 0.4765).

The density of states at the Fermi level is 6.4 states/eV/cell. For the total moment, the calculation gives 0.000 Bohr magnetons per cell. For the energy, the calculation gives -73.75 eV/cell. The crystal system is monoclinic.

***

[5]
Compound: Sm5Al2Se2
Source: Alexandria via LeMat-Bulk
Functional: GGA-PBE
Structure: optimized geometry

The structure belongs to space group Cmce (No. 64); the cell edges are 15.2422, 7.8894 and 7.9151 Å and the angles 90.00°, 90.00° and 90.00°. The asymmetric unit holds Sm at (0.0000, 0.0000, 0.0000), Sm at (0.1421, 0.1716, 0.3369), Al at (0.0000, 0.1205, 0.6181) and Se at (0.1972, 0.0000, 0.0000).

The density of states at the Fermi level is 38.9 states/eV/cell. For the total moment, the calculation gives 0.000 Bohr magnetons per cell. For the energy, the calculation gives -186.58 eV/cell. The crystal system is orthorhombic.

***

[6]
Compound: Sm6Al3Se14
Source: Alexandria via LeMat-Bulk
Functional: GGA-PBE
Structure: optimized geometry

The structure belongs to space group P3 (No. 143); the cell edges are 10.2264, 10.2264 and 6.4660 Å and the angles 90.00°, 90.00° and 120.00°. The asymmetric unit holds Sm at (0.0366, 0.5484, 0.0000), Sm at (0.2914, 0.1125, 0.5049), Al at (0.0000, 0.0000, 0.9251), Al at (0.3333, 0.6667, 0.4199), Al at (0.6667, 0.3333, 0.3189), Se at (0.0000, 0.0000, 0.2931), Se at (0.0993, 0.8526, 0.7760), Se at (0.1898, 0.4209, 0.2693), Se at (0.3333, 0.6667, 0.7893), Se at (0.4281, 0.1976, 0.0948) and Se at (0.5259, 0.4355, 0.5605).

The density of states at the Fermi level is 10.1 states/eV/cell. For the total moment, the calculation gives 0.000 Bohr magnetons per cell. For the energy, the calculation gives -122.66 eV/cell. The crystal system is trigonal.

***

[7]
Compound: SmAlSe
Source: Alexandria via LeMat-Bulk
Functional: GGA-PBE
Structure: optimized geometry

The structure belongs to space group P-6m2 (No. 187); the cell edges are 3.8464, 3.8464 and 12.1530 Å and the angles 90.00°, 90.00° and 120.00°. The asymmetric unit holds Sm at (0.0000, 0.0000, 0.1908), Al at (0.0000, 0.0000, 0.5000), Al at (0.3333, 0.6667, 0.0000) and Se at (0.3333, 0.6667, 0.3493).

The density of states at the Fermi level is 5.0 states/eV/cell. For the total moment, the calculation gives 0.000 Bohr magnetons per cell. For the energy, the calculation gives -27.55 eV/cell. The crystal system is hexagonal.

***

[8]
Compound: Sm6AlSe5
Source: Alexandria via LeMat-Bulk
Functional: GGA-PBE
Structure: optimized geometry

The structure belongs to space group C2/m (No. 12); the cell edges are 7.3043, 12.6204 and 7.2868 Å and the angles 90.00°, 109.39° and 90.00°. The asymmetric unit holds Sm at (0.2469, 0.1647, 0.2479), Sm at (0.2477, 0.0000, 0.7540), Al at (0.0000, 0.0000, 0.0000), Se at (0.0000, 0.1675, 0.5000), Se at (0.0000, 0.3333, 0.0000) and Se at (0.0000, 0.5000, 0.5000).

The density of states at the Fermi level is 12.8 states/eV/cell. For the total moment, the calculation gives 0.000 Bohr magnetons per cell. For the energy, the calculation gives -136.82 eV/cell. The crystal system is monoclinic.

***

Question: Among the records above, which one has the highest energy?
Answer: Al2SiWSe

***

Question: What is the formula in the fifth record?
Answer: Sm5Al2Se2

***

Question: The lowest energy belongs to which entry?
Answer: Sm7AlSe5

***

Question: Number 5 is which compound?
Answer: Sm5Al2Se2